Here is Li2MnTeO4 after structural relaxation from Alexandria. Energies are from PBE with a Hubbard U.

Values from the calculation:
Magnetization = 0.62 μB per atom
Crystal system = monoclinic
Total energy = -45.467 eV per formula unit

a = 7.6786 Å, b = 10.1673 Å, c = 5.9889 Å
α = 90.00°, β = 121.15°, γ = 90.00°
With the nearest neighbours (Å) after each atom.
Space group C2/c (No. 15)
Asymmetric unit:
Li  0.0000  0.0000  0.0000  2 O 1.93
Li  0.2500  0.2500  0.0000  2 O 1.81
Mn  0.2500  0.2500  0.5000  6 O 2.21-2.31
Te  0.0000  0.5000  0.0000  4 O 2.00-2.03
O  0.0553  0.3038  0.0632  1 Li 1.81
O  0.2073  0.0465  0.3518  1 Li 1.93, 1 Te 2.00